(1)
DFT (PBE-GGA) results for a relaxed structure of ZrBWSe.

Cell lengths 4.2451, 3.4779, 8.7760 Å; angles 90.00, 90.00, 90.00 degrees
Positions (direct):
W1 0.5000 0.5000 0.0028
Se1 0.5000 0.5000 0.7144
B1 0.0000 0.5000 0.0103
Zr1 0.0000 0.0000 0.8058
Zr2 0.0000 0.5000 0.3058
W2 0.5000 0.0000 0.5028
B2 0.0000 0.0000 0.5103
Se2 0.5000 0.0000 0.2144

Summary:
Magnetic moment   0.0000 μB/atom
Formation energy from raw total energies   -176 meV/atom
D(E_F)   4.987 states/eV/cell



(2)
DFT (PBE-GGA) results for a relaxed structure of ZrBWSe.

Cell lengths 3.1991, 3.2952, 6.0207 Å; angles 90.00, 90.00, 90.00 degrees
Positions (direct):
Zr1 0.5000 0.0000 0.3550
Se1 0.0000 0.5000 0.5989
B1 0.0000 0.0000 0.0376
W1 0.5000 0.5000 0.9420

Summary:
Magnetic moment   0.0001 μB/atom
Formation energy from raw total energies   -253 meV/atom
D(E_F)   3.776 states/eV/cell



(3)
DFT (PBE-GGA) results for a relaxed structure of ZrBWSe.

Cell lengths 3.4236, 3.4236, 18.6169 Å; angles 90.00, 90.00, 120.00 degrees
Positions (direct):
Zr1 0.6667 0.3333 0.5660
W1 0.3333 0.6667 0.6929
Zr2 0.0000 0.0000 0.2327
W2 0.0000 0.0000 0.0263
Se1 0.3333 0.6667 0.1246
B1 0.0000 0.0000 0.6386
B2 0.6667 0.3333 0.9720
Zr3 0.3333 0.6667 0.8994
B3 0.3333 0.6667 0.3053
W3 0.6667 0.3333 0.3596
Se2 0.6667 0.3333 0.7913
Se3 0.0000 0.0000 0.4579

Summary:
Magnetic moment   0.0000 μB/atom
Formation energy from raw total energies   -541 meV/atom
D(E_F)   6.055 states/eV/cell



(4)
DFT (PBE-GGA) results for a relaxed structure of ZrBWSe.

Cell lengths 6.5624, 3.3913, 5.8801 Å; angles 90.00, 107.51, 90.00 degrees
Positions (direct):
W1 0.0852 0.5000 0.7460
B1 0.9097 0.0000 0.8537
Se1 0.3771 0.5000 0.5093
Se2 0.3771 0.0000 0.0093
Zr1 0.6946 0.5000 0.9477
W2 0.0852 0.0000 0.2460
B2 0.9097 0.5000 0.3537
Zr2 0.6946 0.0000 0.4477

Summary:
Magnetic moment   0.0000 μB/atom
Formation energy from raw total energies   -534 meV/atom
D(E_F)   4.736 states/eV/cell



(5)
DFT (PBE-GGA) results for a relaxed structure of ZrBWSe.

Cell lengths 3.2657, 3.2499, 11.9507 Å; angles 90.00, 90.00, 90.00 degrees
Positions (direct):
Se1 0.0000 0.0000 0.8352
B1 0.5000 0.0000 0.6132
B2 0.0000 0.5000 0.1132
Zr1 0.0000 0.0000 0.4535
Zr2 0.5000 0.5000 0.9535
Se2 0.5000 0.5000 0.3352
W1 0.0000 0.5000 0.6629
W2 0.5000 0.0000 0.1629

Summary:
Magnetic moment   0.0000 μB/atom
Formation energy from raw total energies   -238 meV/atom
D(E_F)   4.762 states/eV/cell



(6)
DFT (PBE-GGA) results for a relaxed structure of ZrBWSe.

Cell lengths 7.0574, 3.4252, 5.9214 Å; angles 90.00, 106.30, 90.00 degrees
Positions (direct):
Se1 0.4177 0.0000 0.9216
B1 0.9113 0.0000 0.0863
Se2 0.4177 0.5000 0.4216
Zr1 0.6929 0.5000 0.8470
W1 0.0446 0.0000 0.7975
B2 0.9113 0.5000 0.5863
Zr2 0.6929 0.0000 0.3470
W2 0.0446 0.5000 0.2975

Summary:
Magnetic moment   0.0000 μB/atom
Formation energy from raw total energies   -448 meV/atom
D(E_F)   6.184 states/eV/cell